# 1
{"formula": "Np2Co3Ge4Au", "functional": "PBE", "state": "optimized geometry", "cell": [[-0.905, 3.151, 2.444], [-2.786, 1.293, -2.699], [-7.013, -5.563, 4.575]], "species": ["Au", "Np", "Np", "Ge", "Ge", "Ge", "Ge", "Co", "Co", "Co"], "fractional_positions": [[0.500, 0.500, 0.500], [0.000, 0.500, 0.765], [0.500, 0.000, 0.235], [0.000, 0.000, 0.000], [0.500, 0.500, 0.000], [0.000, 0.500, 0.350], [0.500, 0.000, 0.650], [0.000, 0.000, 0.500], [0.000, 0.500, 0.122], [0.500, 0.000, 0.878]], "energy_ev_per_atom": -7.129, "crystal_system": "tetragonal", "sg": "P-4m2", "delta_e_f_ev_per_atom": -0.235}

# 2
{"formula": "RbBPb", "functional": "PBE", "state": "optimized geometry", "cell": [[-5.282, 5.982, -4.085], [-4.204, -4.432, -1.054], [-1.444, 0.695, 2.838]], "species": ["Pb", "Pb", "Rb", "Rb", "B", "B"], "fractional_positions": [[0.414, 0.000, 0.716], [0.255, 0.500, 0.718], [0.656, 0.500, 0.209], [0.031, 0.000, 0.222], [0.693, 0.000, 0.947], [0.693, 0.000, 0.458]], "energy_ev_per_atom": -3.597, "crystal_system": "monoclinic", "sg": "Pm", "delta_e_f_ev_per_atom": 0.187}